A relaxed structure of HgIr2Se. Source: Alexandria, functional PBE.

Results
Final energy in eV/atom: -4.73
Distance to the lowest polymorph of the same formula in meV per atom: 317

Cell lengths 7.1335, 7.1335, 5.7885 Å; angles 90.00, 90.00, 90.00 degrees
With the nearest neighbours (Å) after each atom.
Space group I-42d (No. 122)
One atom of each set of equivalent atoms:
Hg: 0.0000 0.0000 0.0000 (multiplicity 4)  8 Ir 2.88-3.15, 2 Se 2.89
Ir: 0.1989 0.2500 0.6250 (multiplicity 8)  2 Se 2.39
Se: 0.0000 0.0000 0.5000 (multiplicity 4)  4 Ir 2.39

***

A relaxed structure of HgIr3Se. Source: Alexandria, functional PBE.

Results
Final energy in eV/atom: -3.54
Distance to the lowest polymorph of the same formula in meV per atom: 1354

Cell lengths 4.9657, 4.9657, 4.9657 Å; angles 90.00, 90.00, 90.00 degrees
With the nearest neighbours (Å) after each atom.
Space group Pm-3m (No. 221)
One atom of each set of equivalent atoms:
Hg: 0.0000 0.0000 0.0000 (multiplicity 1)  6 Ir 2.48
Ir: 0.0000 0.0000 0.5000 (multiplicity 3)  2 Hg 2.48
Se: 0.5000 0.5000 0.5000 (multiplicity 1)  12 Ir 3.51

***

A relaxed structure of HgIr2Se. Source: Alexandria, functional PBE.

Results
Final energy in eV/atom: -4.66
Distance to the lowest polymorph of the same formula in meV per atom: 393

Cell lengths 5.7901, 9.4281, 2.8845 Å; angles 90.00, 118.30, 90.00 degrees
With the nearest neighbours (Å) after each atom.
Space group C2/m (No. 12)
One atom of each set of equivalent atoms:
Hg: 0.0000 0.0000 0.0000 (multiplicity 2)  4 Ir 2.77, 2 Hg 2.88, 4 Se 2.90-2.96
Ir: 0.2500 0.2500 0.0000 (multiplicity 4)  2 Hg 2.77, 2 Se 2.77, 6 Ir 2.88-2.96
Se: 0.0000 0.5000 0.0000 (multiplicity 2)  4 Ir 2.77, 2 Se 2.88, 4 Hg 2.90-2.96

***

A relaxed structure of HgIr2Se. Source: Alexandria, functional PBE.

Results
Final energy in eV/atom: -5.00
Distance to the lowest polymorph of the same formula in meV per atom: 49

Cell lengths 2.9186, 3.8185, 6.5939 Å; angles 90.00, 90.00, 90.00 degrees
With the nearest neighbours (Å) after each atom.
Space group Pmm2 (No. 25)
One atom of each set of equivalent atoms:
Hg: 0.0000 0.0000 0.0000 (multiplicity 1)  5 Ir 2.89-3.09, 2 Hg 2.92
Ir: 0.0000 0.0000 0.4693 (multiplicity 1)  4 Se 2.60, 4 Ir 2.83
Ir: 0.5000 0.5000 0.2438 (multiplicity 1)  1 Se 2.47
Se: 0.5000 0.5000 0.6185 (multiplicity 1)  5 Ir 2.47-2.60

***

A relaxed structure of HgIr2Se. Source: Alexandria, functional PBE.

Results
Final energy in eV/atom: -4.96
Distance to the lowest polymorph of the same formula in meV per atom: 91

Cell lengths 3.0541, 4.6207, 5.1175 Å; angles 90.00, 90.00, 90.00 degrees
With the nearest neighbours (Å) after each atom.
Space group Pmm2 (No. 25)
One atom of each set of equivalent atoms:
Hg: 0.0000 0.0000 0.0000 (multiplicity 1)  6 Ir 2.89-3.05, 2 Hg 3.05, 4 Se 3.15
Ir: 0.0000 0.5000 0.6600 (multiplicity 1)  2 Se 2.42
Ir: 0.5000 0.0000 0.5154 (multiplicity 1)  2 Se 2.57, 4 Ir 2.87
Se: 0.5000 0.5000 0.2939 (multiplicity 1)  4 Ir 2.42-2.57

***

A relaxed structure of HgIr2Se. Source: Alexandria, functional PBE.

Results
Final energy in eV/atom: -4.86
Distance to the lowest polymorph of the same formula in meV per atom: 192

Cell lengths 2.9389, 4.7105, 10.1450 Å; angles 90.00, 90.00, 90.00 degrees
With the nearest neighbours (Å) after each atom.
Space group Imm2 (No. 44)
One atom of each set of equivalent atoms:
Hg: 0.0000 0.0000 0.0000 (multiplicity 2)  4 Ir 2.78, 2 Hg 2.94
Ir: 0.0000 0.0000 0.5135 (multiplicity 2)  2 Se 2.54, 2 Ir 2.77, 4 Hg 2.78
Ir: 0.0000 0.5000 0.7820 (multiplicity 2)  4 Ir 2.77-2.94, 4 Se 2.85
Se: 0.0000 0.5000 0.2175 (multiplicity 2)  2 Ir 2.54

***

A relaxed structure of HgIr2Se. Source: Alexandria, functional PBE.

Results
Final energy in eV/atom: -4.59
Distance to the lowest polymorph of the same formula in meV per atom: 461

Cell lengths 4.1151, 4.1151, 8.1289 Å; angles 90.00, 90.00, 90.00 degrees
With the nearest neighbours (Å) after each atom.
Space group I-4m2 (No. 119)
One atom of each set of equivalent atoms:
Hg: 0.0000 0.0000 0.0000 (multiplicity 2)  4 Se 2.89, 8 Ir 2.89-2.91
Ir: 0.0000 0.0000 0.5000 (multiplicity 2)  4 Se 2.89, 4 Ir 2.89, 4 Hg 2.91
Ir: 0.0000 0.5000 0.7500 (multiplicity 2)  4 Hg 2.89, 4 Ir 2.89, 4 Se 2.91
Se: 0.0000 0.5000 0.2500 (multiplicity 2)  4 Hg 2.89, 8 Ir 2.89-2.91

***

A relaxed structure of HgIr2Se. Source: Alexandria, functional PBE.

Results
Final energy in eV/atom: -4.70
Distance to the lowest polymorph of the same formula in meV per atom: 352

Cell lengths 4.7003, 4.7003, 3.0756 Å; angles 90.00, 90.00, 90.00 degrees
With the nearest neighbours (Å) after each atom.
Space group P4/mmm (No. 123)
One atom of each set of equivalent atoms:
Hg: 0.0000 0.0000 0.0000 (multiplicity 1)  8 Ir 2.81, 2 Hg 3.08
Ir: 0.0000 0.5000 0.5000 (multiplicity 2)  4 Hg 2.81, 4 Se 2.81, 2 Ir 3.08
Se: 0.5000 0.5000 0.0000 (multiplicity 1)  8 Ir 2.81, 2 Se 3.08

***

A relaxed structure of HgIr3Se. Source: Alexandria, functional PBE.

Results
Final energy in eV/atom: -4.90
Distance to the lowest polymorph of the same formula in meV per atom: 0

Cell lengths 4.6117, 4.6117, 4.6117 Å; angles 90.00, 90.00, 90.00 degrees
With the nearest neighbours (Å) after each atom.
Space group Pm-3m (No. 221)
One atom of each set of equivalent atoms:
Hg: 0.0000 0.0000 0.0000 (multiplicity 1)  12 Ir 3.26
Ir: 0.0000 0.5000 0.5000 (multiplicity 3)  2 Se 2.31
Se: 0.5000 0.5000 0.5000 (multiplicity 1)  6 Ir 2.31

***

A relaxed structure of HgIr2Se. Source: Alexandria, functional PBE.

Results
Final energy in eV/atom: -4.68
Distance to the lowest polymorph of the same formula in meV per atom: 374

Cell lengths 2.8903, 4.7193, 5.0750 Å; angles 90.00, 90.00, 90.00 degrees
With the nearest neighbours (Å) after each atom.
Space group Pmmm (No. 47)
One atom of each set of equivalent atoms:
Hg: 0.0000 0.0000 0.0000 (multiplicity 1)  4 Ir 2.77, 2 Hg 2.89, 4 Se 2.92
Ir: 0.0000 0.5000 0.5000 (multiplicity 1)  4 Se 2.77, 6 Ir 2.89-2.92
Ir: 0.5000 0.5000 0.0000 (multiplicity 1)  4 Hg 2.77, 6 Ir 2.89-2.92
Se: 0.5000 0.0000 0.5000 (multiplicity 1)  4 Ir 2.77, 2 Se 2.89, 4 Hg 2.92

***

A relaxed structure of Hg2IrSe2. Source: Alexandria, functional PBE.

Results
Final energy in eV/atom: -2.59

Cell lengths 3.7877, 3.7877, 16.9182 Å; angles 90.00, 90.00, 90.00 degrees
With the nearest neighbours (Å) after each atom.
Space group I4/mmm (No. 139)
One atom of each set of equivalent atoms:
Hg: 0.0000 0.5000 0.2500 (multiplicity 4)  4 Hg 2.68
Ir: 0.0000 0.0000 0.0000 (multiplicity 2)  8 Se 2.93
Se: 0.0000 0.0000 0.4304 (multiplicity 4)  1 Se 2.35

***

A relaxed structure of HgIr2Se. Source: Alexandria, functional PBE.

Results
Final energy in eV/atom: -4.96
Distance to the lowest polymorph of the same formula in meV per atom: 89

Cell lengths 3.0115, 3.0115, 25.7126 Å; angles 90.00, 90.00, 120.00 degrees
With the nearest neighbours (Å) after each atom.
Space group R-3m (No. 166, hexagonal axes)
One atom of each set of equivalent atoms:
Hg: 0.0000 0.0000 0.0000 (multiplicity 3)  6 Ir 2.92, 6 Hg 3.01
Ir: 0.0000 0.0000 0.2420 (multiplicity 6)  3 Se 2.60
Se: 0.0000 0.0000 0.5000 (multiplicity 3)  6 Ir 2.60

***

A relaxed structure of HgIr2Se. Source: Alexandria, functional PBE.

Results
Final energy in eV/atom: -4.72
Distance to the lowest polymorph of the same formula in meV per atom: 331

Cell lengths 6.1287, 7.2658, 3.0415 Å; angles 90.00, 90.00, 90.00 degrees
With the nearest neighbours (Å) after each atom.
Space group Cmmm (No. 65)
One atom of each set of equivalent atoms:
Hg: 0.0000 0.0000 0.0000 (multiplicity 2)  8 Ir 2.82, 2 Hg 3.04, 2 Se 3.06
Ir: 0.2500 0.2500 0.5000 (multiplicity 4)  4 Hg 2.82, 4 Se 2.82, 4 Ir 3.04-3.06
Se: 0.0000 0.5000 0.0000 (multiplicity 2)  8 Ir 2.82, 2 Se 3.04, 2 Hg 3.06

***

A relaxed structure of HgIr2Se. Source: Alexandria, functional PBE.

Results
Final energy in eV/atom: -4.87
Distance to the lowest polymorph of the same formula in meV per atom: 174

Cell lengths 3.0224, 3.0224, 7.3410 Å; angles 90.00, 90.00, 90.00 degrees
With the nearest neighbours (Å) after each atom.
Space group P4/mmm (No. 123)
One atom of each set of equivalent atoms:
Hg: 0.0000 0.0000 0.0000 (multiplicity 1)  8 Ir 2.97, 4 Hg 3.02
Ir: 0.5000 0.5000 0.2801 (multiplicity 2)  4 Se 2.68, 4 Hg 2.97
Se: 0.0000 0.0000 0.5000 (multiplicity 1)  8 Ir 2.68

***

A relaxed structure of HgIr2Se. Source: Alexandria, functional PBE.

Results
Final energy in eV/atom: -4.54
Distance to the lowest polymorph of the same formula in meV per atom: 508

Cell lengths 6.5165, 6.5165, 6.5165 Å; angles 90.00, 90.00, 90.00 degrees
With the nearest neighbours (Å) after each atom.
Space group F-43m (No. 216)
One atom of each set of equivalent atoms:
Hg: 0.0000 0.0000 0.0000 (multiplicity 4)  4 Ir 2.82, 4 Se 2.82
Ir: 0.0000 0.0000 0.5000 (multiplicity 4)  4 Se 2.82, 4 Ir 2.82
Ir: 0.2500 0.2500 0.7500 (multiplicity 4)  4 Hg 2.82, 4 Ir 2.82
Se: 0.2500 0.2500 0.2500 (multiplicity 4)  4 Hg 2.82, 4 Ir 2.82

***

A relaxed structure of HgIrSe. Source: Alexandria, functional PBE.

Results
Final energy in eV/atom: -3.76
Distance to the lowest polymorph of the same formula in meV per atom: 307

Cell lengths 2.8946, 5.1949, 16.2811 Å; angles 90.00, 90.00, 90.00 degrees
With the nearest neighbours (Å) after each atom.
Space group Fmm2 (No. 42)
One atom of each set of equivalent atoms:
Hg: 0.0000 0.0000 0.0000 (multiplicity 4)  6 Hg 2.89-2.97, 2 Ir 2.95
Ir: 0.0000 0.0000 0.3424 (multiplicity 4)  2 Se 2.49
Se: 0.0000 0.0000 0.7176 (multiplicity 4)  2 Ir 2.49

***

A relaxed structure of HgIr4Se8. Source: Alexandria, functional PBE.

Results
Final energy in eV/atom: -5.21

Cell lengths 15.9364, 3.7894, 11.0839 Å; angles 90.00, 124.42, 90.00 degrees
With the nearest neighbours (Å) after each atom.
Space group C2/m (No. 12)
One atom of each set of equivalent atoms:
Hg: 0.0000 0.0000 0.0000 (multiplicity 2)  2 Se 2.84
Ir: 0.1337 0.0000 0.4567 (multiplicity 4)  6 Se 2.49-2.53
Ir: 0.1558 0.5000 0.8286 (multiplicity 4)  6 Se 2.49-2.54
Se: 0.0382 0.0000 0.7785 (multiplicity 4)  3 Ir 2.50
Se: 0.0981 0.5000 0.5665 (multiplicity 4)  3 Ir 2.49-2.50, 1 Se 2.60
Se: 0.1784 0.5000 0.3518 (multiplicity 4)  3 Ir 2.51-2.53
Se: 0.2173 0.5000 0.0908 (multiplicity 4)  3 Ir 2.49-2.54

***

A relaxed structure of HgIr2Se. Source: Alexandria, functional PBE.

Results
Final energy in eV/atom: -4.76
Distance to the lowest polymorph of the same formula in meV per atom: 285

Cell lengths 2.8785, 5.0913, 9.3202 Å; angles 90.00, 90.00, 90.00 degrees
With the nearest neighbours (Å) after each atom.
Space group Cmmm (No. 65)
One atom of each set of equivalent atoms:
Hg: 0.0000 0.0000 0.0000 (multiplicity 2)  4 Ir 2.85, 6 Hg 2.88-2.92
Ir: 0.0000 0.5000 0.2644 (multiplicity 4)  2 Se 2.63, 2 Hg 2.85, 6 Ir 2.88-2.92
Se: 0.0000 0.0000 0.5000 (multiplicity 2)  4 Ir 2.63, 6 Se 2.88-2.92

***

A relaxed structure of HgIr2Se. Source: Alexandria, functional PBE.

Results
Final energy in eV/atom: -5.05
Distance to the lowest polymorph of the same formula in meV per atom: 0

Cell lengths 10.2820, 2.9764, 5.3256 Å; angles 90.00, 95.19, 90.00 degrees
With the nearest neighbours (Å) after each atom.
Space group Cm (No. 8)
One atom of each set of equivalent atoms:
Hg: 0.0000 0.0000 0.0000 (multiplicity 2)  4 Ir 2.87-2.89, 2 Hg 2.98, 1 Se 3.12
Ir: 0.1083 0.5000 0.4328 (multiplicity 2)  2 Se 2.44, 2 Ir 2.69
Ir: 0.3937 0.5000 0.4832 (multiplicity 2)  2 Se 2.47, 2 Ir 2.69
Se: 0.2480 0.0000 0.7014 (multiplicity 2)  4 Ir 2.44-2.47

***

A relaxed structure of HgIrSe4. Source: Alexandria, functional PBE.

Results
Final energy in eV/atom: -2.79

Cell lengths 7.9584, 7.9584, 7.9584 Å; angles 90.00, 90.00, 90.00 degrees
With the nearest neighbours (Å) after each atom.
Space group F-43m (No. 216)
One atom of each set of equivalent atoms:
Hg: 0.0000 0.0000 0.0000 (multiplicity 4)  12 Se 3.30, 4 Ir 3.45
Ir: 0.2500 0.2500 0.7500 (multiplicity 4)  12 Se 3.30, 4 Hg 3.45
Se: 0.1242 0.1242 0.3758 (multiplicity 16)  6 Se 2.80-2.83

***

no.,raw formation energy (eV/atom),Fermi-level density of states (states/eV/cell),magnetization (μB per formula unit)
1,0.644,10.61,0.0
2,2.530,8.76,3.5
3,0.721,9.06,0.0
4,0.377,2.95,0.0
5,0.419,1.90,0.0
6,0.520,6.96,0.0
7,0.789,11.88,0.0
8,0.680,3.40,0.0
9,1.176,6.40,0.0
10,0.701,7.14,0.0
11,0.699,8.11,0.0
12,0.417,5.17,0.0
13,0.658,6.89,0.0
14,0.502,2.27,0.0
15,0.836,20.13,0.0
16,0.455,6.49,0.0
17,-0.317,8.08,0.0
18,0.613,6.61,0.0
19,0.328,4.08,0.0
20,1.059,27.14,0.1